1.
## MgPd6Au2 (PBE)

Data for a relaxed structure of MgPd6Au2.

As for the energy of formation from the pure elements: -268 meV/atom. The energy above the most stable polymorph in this dataset comes out at 11 meV per atom.

It has space group C2/m (No. 12), with a = 8.909 Å, b = 4.012 Å, c = 8.470 Å, α = 90.00°, β = 107.63° and γ = 90.00°. The inequivalent atoms are Mg at (0.000, 0.000, 0.000), Pd at (0.000, 0.000, 0.333), Pd at (0.165, 0.500, 0.555), Pd at (0.165, 0.500, 0.889) and Au at (0.168, 0.500, 0.223).

***

2.
## Re2Ir3Rh4 (PBE)

Data for a relaxed structure of Re2Ir3Rh4.

As for the energy of formation from the pure elements: -103 meV/atom.

It has space group P-1 (No. 2), with a = 4.790 Å, b = 6.999 Å, c = 8.519 Å, α = 71.97°, β = 73.85° and γ = 89.98°. The inequivalent atoms are Re at (0.112, 0.364, 0.111), Re at (0.331, 0.914, 0.665), Ir at (0.116, 0.193, 0.441), Ir at (0.221, 0.141, 0.888), Ir at (0.445, 0.530, 0.780), Rh at (0.001, 0.580, 0.335), Rh at (0.221, 0.976, 0.218), Rh at (0.335, 0.752, 0.999) and Rh at (0.449, 0.699, 0.440).

***

3.
## BaICl3 (PBE)

Data for a relaxed structure of BaICl3.

As for the formation energy from raw total energies: -0.83 eV per atom. The energy above the most stable polymorph in this dataset comes out at 258 meV per atom.

It has space group Pm-3m (No. 221), with a = 5.810 Å, b = 5.810 Å, c = 5.810 Å, α = 90.00°, β = 90.00° and γ = 90.00°. The inequivalent atoms are Ba at (0.000, 0.000, 0.000), I at (0.500, 0.500, 0.500) and Cl at (0.000, 0.500, 0.500).

***

4.
## Ti2NbSbN (PBE)

Data for a relaxed structure of Ti2NbSbN.

As for the formation energy from raw total energies: -0.71 eV per atom.

It has space group P4/mmm (No. 123), with a = 4.173 Å, b = 4.173 Å, c = 4.408 Å, α = 90.00°, β = 90.00° and γ = 90.00°. The inequivalent atoms are Ti at (0.000, 0.500, 0.000), Nb at (0.000, 0.000, 0.500), Sb at (0.500, 0.500, 0.500) and N at (0.000, 0.000, 0.000).